Version 1
# ZnRuRh4 (PBE, relaxed)
# Crystal system: cubic
data_ZnRuRh4
_chemical_formula_sum 'Zn4 Ru4 Rh16'
_cell_length_a 7.183
_cell_length_b 7.183
_cell_length_c 7.183
_cell_angle_alpha 90.00
_cell_angle_beta 90.00
_cell_angle_gamma 90.00
_space_group_name_H-M_alt 'F -4 3 m'
_space_group_IT_number 216
_space_group_name_Hall 'F -4 2 3'
loop_
_atom_site_label
_atom_site_fract_x
_atom_site_fract_y
_atom_site_fract_z
Zn1 0.000 0.000 0.000
Ru1 0.250 0.250 0.250
Rh1 0.125 0.125 0.625

***

Version 2
# ZnRuRh4 (PBE, relaxed)
# Crystal system: orthorhombic
data_ZnRuRh4
_chemical_formula_sum 'Zn1 Ru1 Rh4'
_cell_length_a 2.724
_cell_length_b 3.823
_cell_length_c 8.121
_cell_angle_alpha 90.00
_cell_angle_beta 90.00
_cell_angle_gamma 90.00
_space_group_name_H-M_alt 'P m m m'
_space_group_IT_number 47
_space_group_name_Hall '-P 2 2'
loop_
_atom_site_label
_atom_site_fract_x
_atom_site_fract_y
_atom_site_fract_z
Zn1 0.000 0.000 0.000
Ru1 0.500 0.500 0.500
Rh1 0.000 0.000 0.336
Rh2 0.500 0.500 0.165

***

Quick look at relative energies in meV per atom: version 1 424; version 2 0.

***

Version 1
# Zn2RuRh2 (PBE, relaxed)
# Crystal system: tetragonal
data_Zn2RuRh2
_chemical_formula_sum 'Zn4 Ru2 Rh4'
_cell_length_a 3.606
_cell_length_b 3.606
_cell_length_c 11.974
_cell_angle_alpha 90.00
_cell_angle_beta 90.00
_cell_angle_gamma 90.00
_space_group_name_H-M_alt 'I 4/m m m'
_space_group_IT_number 139
_space_group_name_Hall '-I 4 2'
loop_
_atom_site_label
_atom_site_fract_x
_atom_site_fract_y
_atom_site_fract_z
Zn1 0.000 0.000 0.097
Ru1 0.000 0.000 0.500
Rh1 0.000 0.500 0.250

***

Version 2
# Zn2RuRh2 (PBE, relaxed)
# Crystal system: tetragonal
data_Zn2RuRh2
_chemical_formula_sum 'Zn4 Ru2 Rh4'
_cell_length_a 7.052
_cell_length_b 7.052
_cell_length_c 2.858
_cell_angle_alpha 90.00
_cell_angle_beta 90.00
_cell_angle_gamma 90.00
_space_group_name_H-M_alt 'P 4/m b m'
_space_group_IT_number 127
_space_group_name_Hall '-P 4 2ab'
loop_
_atom_site_label
_atom_site_fract_x
_atom_site_fract_y
_atom_site_fract_z
Zn1 0.125 0.375 0.000
Ru1 0.000 0.000 0.000
Rh1 0.176 0.676 0.500

***

Version 3
# Zn2RuRh2 (PBE, relaxed)
# Crystal system: tetragonal
data_Zn2RuRh2
_chemical_formula_sum 'Zn4 Ru2 Rh4'
_cell_length_a 7.080
_cell_length_b 7.080
_cell_length_c 2.942
_cell_angle_alpha 90.00
_cell_angle_beta 90.00
_cell_angle_gamma 90.00
_space_group_name_H-M_alt 'P 4/m b m'
_space_group_IT_number 127
_space_group_name_Hall '-P 4 2ab'
loop_
_atom_site_label
_atom_site_fract_x
_atom_site_fract_y
_atom_site_fract_z
Zn1 0.164 0.336 0.000
Ru1 0.000 0.000 0.500
Rh1 0.135 0.635 0.500

***

Quick look at relative energies in meV per atom: version 1 403; version 2 0; version 3 74.